Record 1
Computed, not measured: crystalline MgPaReO6 at its relaxed geometry at the GGA-PBE level of DFT.

a = 5.4553 Å, b = 5.4553 Å, c = 8.9648 Å
α = 90.00°, β = 90.00°, γ = 120.00°
Element x y z (fractional)
Mg (0.0000, 0.0000, 0.0000)
Mg (0.0000, 0.0000, 0.5000)
Pa (0.3333, 0.6667, 0.2500)
Pa (0.6667, 0.3333, 0.7500)
Re (0.6667, 0.3333, 0.2500)
Re (0.3333, 0.6667, 0.7500)
O (0.6732, 0.6435, 0.1307)
O (0.9703, 0.3268, 0.1307)
O (0.3268, 0.9703, 0.6307)
O (0.0297, 0.6732, 0.8693)
O (0.3565, 0.3268, 0.3693)
O (0.9703, 0.6435, 0.3693)
O (0.6435, 0.9703, 0.8693)
O (0.6732, 0.0297, 0.3693)
O (0.0297, 0.3565, 0.6307)
O (0.3565, 0.0297, 0.1307)
O (0.6435, 0.6732, 0.6307)
O (0.3268, 0.3565, 0.8693)

Formation energy from raw total energies, eV/atom: -2.4269
M_tot, μB/cell: 4.0
Total energy, Ha/atom: -0.3068



Record 2
Computed, not measured: crystalline Mg2PaReO8 at its relaxed geometry at the GGA-PBE level of DFT.

a = 4.7471 Å, b = 4.7469 Å, c = 6.5704 Å
α = 90.00°, β = 90.00°, γ = 91.55°
Element x y z (fractional)
Mg (0.5000, 0.5000, 0.7597)
Mg (0.5000, 0.5000, 0.2403)
Pa (0.0000, 0.0000, 0.5000)
Re (0.0000, 0.0000, 0.0000)
O (0.1905, 0.8093, 0.2144)
O (0.7172, 0.7175, 0.0000)
O (0.8095, 0.1907, 0.2144)
O (0.8095, 0.1907, 0.7856)
O (0.2828, 0.2825, 0.0000)
O (0.1905, 0.8093, 0.7856)
O (0.6958, 0.6961, 0.5000)
O (0.3042, 0.3039, 0.5000)

Formation energy from raw total energies, eV/atom: -2.5202
M_tot, μB/cell: 0.0
Total energy, Ha/atom: -0.2911



Record 3
Computed, not measured: crystalline MgPaRhO6 at its relaxed geometry at the GGA-PBE level of DFT.

a = 5.4036 Å, b = 5.4036 Å, c = 8.9548 Å
α = 90.00°, β = 90.00°, γ = 120.00°
Element x y z (fractional)
Mg (0.0000, 0.0000, 0.0000)
Mg (0.0000, 0.0000, 0.5000)
Pa (0.3333, 0.6667, 0.2500)
Pa (0.6667, 0.3333, 0.7500)
Rh (0.6667, 0.3333, 0.2500)
Rh (0.3333, 0.6667, 0.7500)
O (0.6718, 0.6467, 0.1285)
O (0.9749, 0.3282, 0.1285)
O (0.3282, 0.9749, 0.6285)
O (0.0251, 0.6718, 0.8715)
O (0.3533, 0.3282, 0.3715)
O (0.9749, 0.6467, 0.3715)
O (0.6467, 0.9749, 0.8715)
O (0.6718, 0.0251, 0.3715)
O (0.0251, 0.3533, 0.6285)
O (0.3533, 0.0251, 0.1285)
O (0.6467, 0.6718, 0.6285)
O (0.3282, 0.3533, 0.8715)

Formation energy from raw total energies, eV/atom: -2.1022
M_tot, μB/cell: 3.9
Total energy, Ha/atom: -0.2740



Record 4
Computed, not measured: crystalline MgPaRuO6 at its relaxed geometry at the GGA-PBE level of DFT.

a = 5.4273 Å, b = 5.4273 Å, c = 8.9592 Å
α = 90.00°, β = 90.00°, γ = 120.00°
Element x y z (fractional)
Mg (0.0000, 0.0000, 0.0000)
Mg (0.0000, 0.0000, 0.5000)
Pa (0.3333, 0.6667, 0.2500)
Pa (0.6667, 0.3333, 0.7500)
Ru (0.6667, 0.3333, 0.2500)
Ru (0.3333, 0.6667, 0.7500)
O (0.6717, 0.6441, 0.1303)
O (0.9724, 0.3283, 0.1303)
O (0.3283, 0.9724, 0.6303)
O (0.0276, 0.6717, 0.8697)
O (0.3559, 0.3283, 0.3697)
O (0.9724, 0.6441, 0.3697)
O (0.6441, 0.9724, 0.8697)
O (0.6717, 0.0276, 0.3697)
O (0.0276, 0.3559, 0.6303)
O (0.3559, 0.0276, 0.1303)
O (0.6441, 0.6717, 0.6303)
O (0.3283, 0.3559, 0.8697)

Formation energy from raw total energies, eV/atom: -2.2389
M_tot, μB/cell: 6.0
Total energy, Ha/atom: -0.2869